Record 1
An optimized crystal structure of ZrHgS2. Source: the Alexandria database, functional PBE.

a = 3.786 Å, b = 3.786 Å, c = 5.714 Å
α = 90.00°, β = 90.00°, γ = 90.00°
Positions (direct):
1 S 0.500 0.500 0.500
2 S 0.000 0.000 0.000
3 Hg 0.500 0.500 0.000
4 Zr 0.000 0.000 0.500

Summary:
Size of the total moment ... 0.00 μB/cell
E ... -4.846 eV/atom
SG ... P4/mmm, No. 123

=====

Record 2
An optimized crystal structure of DyPaCuRh. Source: the Alexandria database, functional PBE.

a = 4.882 Å, b = 4.882 Å, c = 4.882 Å
α = 60.00°, β = 60.00°, γ = 60.00°
Positions (direct):
1 Pa 0.500 0.500 0.500
2 Rh 0.750 0.750 0.750
3 Cu 0.250 0.250 0.250
4 Dy 0.000 0.000 0.000

Summary:
Size of the total moment ... 0.46 μB/cell
E ... -6.711 eV/atom
ΔE_f ... -0.3250 eV per atom
SG ... F-43m, No. 216

=====

Record 3
An optimized crystal structure of BaBrCl. Source: the Alexandria database, functional PBE.

a = 5.385 Å, b = 5.385 Å, c = 5.385 Å
α = 60.00°, β = 60.00°, γ = 60.00°
Positions (direct):
1 Ba 0.750 0.750 0.750
2 Br 0.000 0.000 0.000
3 Cl 0.500 0.500 0.500

Summary:
Size of the total moment ... 0.00 μB/cell
E ... -4.187 eV/atom
SG ... F-43m, No. 216

=====

Record 4
An optimized crystal structure of Sc5SnAu4. Source: the Alexandria database, functional PBE.

a = 3.396 Å, b = 3.396 Å, c = 17.648 Å
α = 90.00°, β = 90.00°, γ = 90.00°
Positions (direct):
1 Sc 0.500 0.500 0.113
2 Sc 0.500 0.500 0.307
3 Sc 0.500 0.500 0.500
4 Sc 0.500 0.500 0.693
5 Sc 0.500 0.500 0.887
6 Sn 0.000 0.000 0.000
7 Au 0.000 0.000 0.212
8 Au 0.000 0.000 0.404
9 Au 0.000 0.000 0.596
10 Au 0.000 0.000 0.788

Summary:
Size of the total moment ... 0.00 μB/cell
E ... -5.628 eV/atom
ΔE_f ... -0.7509 eV per atom
SG ... P4/mmm, No. 123

=====

Record 5
An optimized crystal structure of Pa2TeAs. Source: the Alexandria database, functional PBE.

a = 3.944 Å, b = 3.944 Å, c = 8.158 Å
α = 76.01°, β = 76.01°, γ = 60.00°
Positions (direct):
1 Pa 0.074 0.074 0.778
2 Pa 0.259 0.259 0.222
3 Te 0.499 0.499 0.502
4 As 0.667 0.667 0.999

Summary:
Size of the total moment ... 0.43 μB/cell
E ... -7.507 eV/atom
SG ... R3m, No. 160

=====

Record 6
An optimized crystal structure of La2CrRuI. Source: the Alexandria database, functional PBE.

a = 5.895 Å, b = 4.783 Å, c = 5.895 Å
α = 90.00°, β = 90.00°, γ = 90.00°
Positions (direct):
1 I 0.000 0.000 0.000
2 Ru 0.000 0.500 0.000
3 Cr 0.500 0.500 0.500
4 La 0.000 0.000 0.500
5 La 0.500 0.000 0.000

Summary:
Size of the total moment ... 0.03 μB/cell
E ... -4.841 eV/atom
SG ... P4/mmm, No. 123

=====

Record 7
An optimized crystal structure of DyFe2Ni5. Source: the Alexandria database, functional PBE.

a = 3.659 Å, b = 5.920 Å, c = 5.920 Å
α = 67.99°, β = 72.00°, γ = 72.00°
Positions (direct):
1 Dy 0.000 0.000 0.000
2 Fe 0.750 0.750 0.750
3 Fe 0.250 0.250 0.250
4 Ni 0.000 0.500 0.500
5 Ni 0.642 0.545 0.171
6 Ni 0.358 0.455 0.829
7 Ni 0.358 0.829 0.455
8 Ni 0.642 0.171 0.545

Summary:
Size of the total moment ... 7.82 μB/cell
E ... -6.321 eV/atom
ΔE_f ... -0.0167 eV per atom
SG ... Immm, No. 71

=====

Record 8
An optimized crystal structure of La3TbSm4S8. Source: the Alexandria database, functional PBE.

a = 8.115 Å, b = 8.108 Å, c = 8.115 Å
α = 120.03°, β = 120.00°, γ = 90.00°
Positions (direct):
1 La 0.500 0.500 0.000
2 La 0.500 0.500 0.500
3 La 0.000 0.500 0.500
4 Tb 0.000 0.500 0.000
5 Sm 0.500 0.000 0.000
6 Sm 0.500 0.000 0.500
7 Sm 0.000 0.000 0.000
8 Sm 0.000 0.000 0.500
9 S 0.247 0.754 0.007
10 S 0.247 0.754 0.494
11 S 0.246 0.239 0.493
12 S 0.760 0.754 0.007
13 S 0.240 0.246 0.993
14 S 0.754 0.761 0.507
15 S 0.753 0.246 0.506
16 S 0.753 0.246 0.993

Summary:
Size of the total moment ... 0.00 μB/cell
E ... -6.527 eV/atom
SG ... R-3m, No. 166

=====

Record 9
An optimized crystal structure of CaHo2PuN4. Source: the Alexandria database, functional PBE.

a = 3.484 Å, b = 5.952 Å, c = 5.949 Å
α = 108.37°, β = 90.00°, γ = 90.00°
Positions (direct):
1 Ca 0.500 0.500 0.000
2 Ho 0.500 0.000 0.500
3 Ho 0.000 0.500 0.500
4 Pu 0.000 0.000 0.000
5 N 0.500 0.245 0.254
6 N 0.500 0.755 0.746
7 N 0.000 0.224 0.754
8 N 0.000 0.776 0.246

Summary:
Size of the total moment ... 3.99 μB/cell
E ... -8.768 eV/atom
SG ... P2/m, No. 10

=====

Record 10
An optimized crystal structure of CeFe12B4. Source: the Alexandria database, functional PBE.

a = 6.332 Å, b = 6.332 Å, c = 6.332 Å
α = 109.47°, β = 109.47°, γ = 109.47°
Positions (direct):
1 Ce 0.000 0.000 0.000
2 Fe 0.825 0.340 0.164
3 Fe 0.340 0.515 0.175
4 Fe 0.836 0.175 0.660
5 Fe 0.340 0.164 0.825
6 Fe 0.164 0.825 0.340
7 Fe 0.660 0.485 0.825
8 Fe 0.515 0.175 0.340
9 Fe 0.485 0.825 0.660
10 Fe 0.660 0.836 0.175
11 Fe 0.825 0.660 0.485
12 Fe 0.175 0.340 0.515
13 Fe 0.175 0.660 0.836
14 B 0.000 0.500 0.000
15 B 0.500 0.000 0.000
16 B 0.500 0.500 0.500
17 B 0.000 0.000 0.500

Summary:
Size of the total moment ... 23.62 μB/cell
E ... -7.818 eV/atom
ΔE_f ... 0.0756 eV per atom
SG ... Im-3, No. 204

=====

Record 11
An optimized crystal structure of TaV2Re. Source: the Alexandria database, functional PBE.

a = 6.984 Å, b = 6.984 Å, c = 5.613 Å
α = 51.53°, β = 51.53°, γ = 90.00°
Positions (direct):
1 Re 0.000 0.000 0.000
2 Re 0.750 0.250 0.500
3 Ta 0.500 0.500 0.000
4 Ta 0.250 0.750 0.500
5 V 0.648 0.125 0.250
6 V 0.102 0.625 0.250
7 V 0.375 0.352 0.750
8 V 0.875 0.898 0.750

Summary:
Size of the total moment ... 0.00 μB/cell
E ... -10.101 eV/atom
ΔE_f ... 0.5339 eV per atom
SG ... I-42d, No. 122

=====

Record 12
An optimized crystal structure of LiCa2Os. Source: the Alexandria database, functional PBE.

a = 5.470 Å, b = 5.470 Å, c = 5.470 Å
α = 132.78°, β = 132.78°, γ = 69.00°
Positions (direct):
1 Ca 0.000 0.000 0.000
2 Ca 0.250 0.750 0.500
3 Li 0.500 0.500 0.000
4 Os 0.750 0.250 0.500

Summary:
Size of the total moment ... 0.22 μB/cell
E ... -3.814 eV/atom
ΔE_f ... 0.4727 eV per atom
SG ... I-4m2, No. 119

=====

Record 13
An optimized crystal structure of RbU2Tl3Se6. Source: the Alexandria database, functional PBE.

a = 4.268 Å, b = 9.306 Å, c = 10.295 Å
α = 103.29°, β = 101.96°, γ = 90.00°
Positions (direct):
1 Rb 0.500 0.000 0.000
2 U 0.825 0.660 0.650
3 U 0.175 0.340 0.350
4 Tl 0.500 0.500 0.000
5 Tl 0.838 0.170 0.676
6 Tl 0.162 0.830 0.324
7 Se 0.319 0.864 0.637
8 Se 0.678 0.556 0.356
9 Se 0.681 0.136 0.363
10 Se 0.039 0.281 0.078
11 Se 0.961 0.719 0.922
12 Se 0.322 0.444 0.644

Summary:
Size of the total moment ... 4.00 μB/cell
E ... -5.195 eV/atom
SG ... C2/m, No. 12

=====

Record 14
An optimized crystal structure of AlIn2Pt. Source: the Alexandria database, functional PBE.

a = 4.740 Å, b = 4.740 Å, c = 3.792 Å
α = 90.00°, β = 90.00°, γ = 110.51°
Positions (direct):
1 Al 0.000 0.500 0.500
2 Pt 0.500 0.000 0.500
3 In 0.000 0.000 0.000
4 In 0.500 0.500 0.000

Summary:
Size of the total moment ... 0.00 μB/cell
E ... -3.920 eV/atom
ΔE_f ... -0.1045 eV per atom
SG ... Cmmm, No. 65

=====

Record 15
An optimized crystal structure of AgBi8Rh2. Source: the Alexandria database, functional PBE.

a = 5.359 Å, b = 8.269 Å, c = 8.269 Å
α = 62.83°, β = 88.43°, γ = 88.43°
Positions (direct):
1 Ag 0.000 0.000 0.000
2 Bi 0.728 0.184 0.627
3 Bi 0.272 0.373 0.816
4 Bi 0.732 0.212 0.212
5 Bi 0.268 0.788 0.788
6 Bi 0.728 0.627 0.184
7 Bi 0.272 0.816 0.373
8 Bi 0.222 0.374 0.374
9 Bi 0.778 0.626 0.626
10 Rh 0.236 0.178 0.178
11 Rh 0.764 0.822 0.822

Summary:
Size of the total moment ... 0.00 μB/cell
E ... -4.325 eV/atom
ΔE_f ... 0.0931 eV per atom
SG ... C2/m, No. 12

=====

Record 16
An optimized crystal structure of AcSi2BiO8. Source: the Alexandria database, functional PBE.

a = 5.400 Å, b = 5.400 Å, c = 7.376 Å
α = 90.00°, β = 90.00°, γ = 120.00°
Positions (direct):
1 Ac 0.000 0.000 0.500
2 Si 0.667 0.333 0.265
3 Si 0.333 0.667 0.735
4 Bi 0.000 0.000 0.000
5 O 0.835 0.165 0.201
6 O 0.835 0.670 0.201
7 O 0.330 0.165 0.201
8 O 0.670 0.835 0.799
9 O 0.333 0.667 0.516
10 O 0.667 0.333 0.484
11 O 0.165 0.835 0.799
12 O 0.165 0.330 0.799

Summary:
Size of the total moment ... 0.00 μB/cell
E ... -7.141 eV/atom
SG ... P-3m1, No. 164

=====

Record 17
An optimized crystal structure of Ac3AgHg. Source: the Alexandria database, functional PBE.

a = 5.684 Å, b = 5.689 Å, c = 11.157 Å
α = 90.00°, β = 75.24°, γ = 90.00°
Positions (direct):
1 Ac 0.758 0.250 0.133
2 Ac 0.392 0.250 0.865
3 Ac 0.575 0.250 0.499
4 Ac 0.257 0.750 0.135
5 Ac 0.891 0.750 0.867
6 Ac 0.074 0.750 0.501
7 Ag 0.482 0.750 0.684
8 Ag 0.166 0.250 0.316
9 Hg 0.668 0.750 0.312
10 Hg 0.980 0.250 0.688

Summary:
Size of the total moment ... 0.00 μB/cell
E ... -3.383 eV/atom
ΔE_f ... -0.2869 eV per atom
SG ... Cmcm, No. 63

=====

Record 18
An optimized crystal structure of ErLu2Rh. Source: the Alexandria database, functional PBE.

a = 3.439 Å, b = 3.439 Å, c = 8.361 Å
α = 90.00°, β = 90.00°, γ = 90.00°
Positions (direct):
1 Lu 0.000 0.000 0.810
2 Lu 0.000 0.000 0.190
3 Rh 0.500 0.500 0.000
4 Er 0.500 0.500 0.500

Summary:
Size of the total moment ... 0.01 μB/cell
E ... -5.707 eV/atom
ΔE_f ... -0.4684 eV per atom
SG ... P4/mmm, No. 123

=====

Record 19
An optimized crystal structure of Pr6Co2TeBr3. Source: the Alexandria database, functional PBE.

a = 4.221 Å, b = 9.283 Å, c = 9.818 Å
α = 106.65°, β = 102.41°, γ = 90.00°
Positions (direct):
1 Pr 0.326 0.855 0.651
2 Pr 0.683 0.559 0.366
3 Pr 0.674 0.145 0.349
4 Pr 0.031 0.266 0.062
5 Pr 0.969 0.734 0.938
6 Pr 0.317 0.441 0.634
7 Co 0.829 0.659 0.658
8 Co 0.171 0.341 0.342
9 Te 0.500 0.000 0.000
10 Br 0.500 0.500 0.000
11 Br 0.842 0.162 0.685
12 Br 0.158 0.838 0.315

Summary:
Size of the total moment ... 0.00 μB/cell
E ... -5.161 eV/atom
SG ... C2/m, No. 12

=====

Record 20
An optimized crystal structure of CrCu3Os. Source: the Alexandria database, functional PBE.

a = 4.625 Å, b = 4.625 Å, c = 4.625 Å
α = 90.00°, β = 90.00°, γ = 90.00°
Positions (direct):
1 Cr 0.500 0.500 0.500
2 Os 0.000 0.000 0.000
3 Cu 0.000 0.500 0.000
4 Cu 0.000 0.000 0.500
5 Cu 0.500 0.000 0.000

Summary:
Size of the total moment ... 3.18 μB/cell
E ... -5.142 eV/atom
ΔE_f ... 1.4862 eV per atom
SG ... Pm-3m, No. 221